1.
A relaxed KMn2FeOs crystal, computed with PBE.

Density in g/cm3: 5.65
ΔE_f in eV per atom: 1.098

POSCAR file:
```
KMn2FeOs
1.0
-3.199 3.609 -1.133
-2.667 -1.195 3.724
2.553 3.155 2.840
K Mn Os Fe
1 2 1 1
Cartesian
-1.656 2.784 2.716
1.277 1.577 1.420
-1.599 1.804 -0.566
0.000 0.000 0.000
-1.333 -0.597 1.862
```

2.
A relaxed KMnFeS3 crystal, computed with PBE.

Energy relative to the elements, uncorrected in meV/atom: -714
Density in g/cm3: 3.36

POSCAR file:
```
KMnFeS3
1.0
3.560 0.000 0.000
0.000 8.157 -0.777
0.000 -2.944 8.667
K Mn Fe S
2 2 2 6
Cartesian
0.890 1.190 2.039
2.670 4.023 5.851
0.890 5.128 0.784
2.670 0.085 7.106
0.890 -1.069 5.211
2.670 6.282 2.678
2.670 6.718 0.513
0.890 -1.505 7.377
0.890 5.057 3.315
2.670 0.156 4.575
2.670 3.503 0.838
0.890 1.710 7.052
```

3.
A relaxed KMnFe2S crystal, computed with PBE.

Energy relative to the elements, uncorrected in meV/atom: 1357
Density in g/cm3: 4.37

POSCAR file:
```
KMnFe2S
1.0
-1.620 -1.910 -3.281
-1.083 -4.232 2.999
-3.702 1.588 0.904
S K Mn Fe
1 1 1 2
Cartesian
0.000 0.000 0.000
-0.541 -2.116 1.499
-3.202 -2.277 0.311
-1.851 0.794 0.452
-0.810 -0.955 -1.641
```

4.
A relaxed KMnFeSb2 crystal, computed with PBE.

Energy relative to the elements, uncorrected in meV/atom: 2535
Density in g/cm3: 4.89

POSCAR file:
```
KMnFeSb2
1.0
5.609 0.000 0.000
0.000 4.245 0.000
0.000 0.000 5.609
Sb K Mn Fe
2 1 1 1
Cartesian
0.000 0.000 2.805
2.805 0.000 0.000
0.000 0.000 0.000
2.805 2.123 2.805
0.000 2.123 0.000
```

5.
A relaxed KTa2MnFe crystal, computed with PBE.

Density in g/cm3: 8.59
ΔE_f in eV per atom: 1.336

POSCAR file:
```
KTa2MnFe
1.0
-3.087 -1.016 3.381
3.381 -0.637 2.896
-0.175 4.530 1.201
K Mn Fe Ta
1 1 1 2
Cartesian
0.059 1.439 3.739
0.000 0.000 0.000
1.690 -0.319 1.448
-0.088 2.265 0.600
-1.544 -0.508 1.690
```

6.
A relaxed KMn2TlFe crystal, computed with PBE.

Density in g/cm3: 7.17
ΔE_f in eV per atom: 3.024

POSCAR file:
```
KMn2TlFe
1.0
-2.158 -2.237 -2.792
4.346 -3.151 -0.834
-1.276 -2.565 3.041
K Tl Mn Fe
1 1 2 1
Cartesian
0.000 0.000 0.000
2.173 -1.575 -0.417
-0.638 -1.282 1.521
-1.079 -1.119 -1.396
0.456 -3.976 -0.292
```

7.
A relaxed KFe2Mo crystal, computed with PBE.

Density in g/cm3: 5.78
ΔE_f in eV per atom: 1.105
Energy above the lowest structure with this stoichiometry in eV/atom: 0.391

POSCAR file:
```
KFe2Mo
1.0
5.915 -0.033 0.019
3.023 5.085 -0.019
-3.607 -4.051 2.361
Fe K Mo
2 1 1
Cartesian
8.843 4.998 0.000
3.808 -0.542 1.190
4.539 2.565 0.000
1.547 1.557 1.171
```

8.
A relaxed KFeMo crystal, computed with PBE.

Density in g/cm3: 4.65
ΔE_f in eV per atom: 0.993
Energy above the lowest structure with this stoichiometry in eV/atom: 0.000

POSCAR file:
```
KFeMo
1.0
-6.607 -1.425 -0.359
-5.045 -2.169 3.957
5.224 4.026 -1.523
Fe K Mo
1 1 1
Cartesian
-0.753 -0.232 0.232
-3.903 -1.204 1.205
-6.996 -2.158 2.160
```

> The lowest density belongs to which entry?

KMnFeS3

> Look up the density of the eighth one.

4.65 g/cm3